# 1
An optimized crystal structure of TbYHo4. Source: Alexandria via LeMat-Bulk, functional PBE.

- E_form: 0.021 eV/atom
- Excess energy over the best structure of this formula in the dataset: 2 meV per atom
- SG: P-1 (2)
- E_tot: -4.880 eV per atom

Cell and atoms, written as POSCAR:
```
TbYHo4
1.0
4.9906 0.0000 0.0000
2.4886 5.6042 0.0000
0.0018 2.2531 6.7168
Tb Y Ho
1 1 4
Direct
0.0000 0.0000 0.0000 Tb
0.0000 0.0000 0.5000 Y
0.3331 0.3338 0.6670 Ho
0.3327 0.3347 0.1658 Ho
0.6673 0.6653 0.8342 Ho
0.6669 0.6662 0.3330 Ho
```



# 2
An optimized crystal structure of KSrCa2Au. Source: Alexandria via LeMat-Bulk, functional PBE.

- E_form: -0.297 eV/atom
- Excess energy over the best structure of this formula in the dataset: 0 meV per atom
- SG: P4/mmm (123)
- E_tot: -2.309 eV per atom

Cell and atoms, written as POSCAR:
```
KSrCa2Au
1.0
5.9416 0.0000 0.0000
0.0000 5.9416 0.0000
0.0000 0.0000 6.2166
K Sr Ca Au
1 1 2 1
Direct
0.0000 0.0000 0.0000 K
0.5000 0.5000 0.0000 Sr
0.0000 0.5000 0.5000 Ca
0.5000 0.0000 0.5000 Ca
0.5000 0.5000 0.5000 Au
```



# 3
An optimized crystal structure of RbNa2Sb2Au2. Source: Alexandria via LeMat-Bulk, functional PBE.

- SG: R-3m (166)
- E_tot: -3.067 eV per atom
- Formation energy without anion corrections: -0.438 eV per atom

Cell and atoms, written as POSCAR:
```
RbNa2Sb2Au2
1.0
2.3783 1.3731 10.6077
-2.3783 1.3731 10.6077
0.0000 -2.7462 10.6077
Rb Na Sb Au
1 2 2 2
Direct
0.0000 0.0000 0.0000 Rb
0.1401 0.1401 0.1401 Na
0.8599 0.8599 0.8599 Na
0.2476 0.2476 0.2476 Sb
0.7524 0.7524 0.7524 Sb
0.4254 0.4254 0.4254 Au
0.5746 0.5746 0.5746 Au
```



# 4
An optimized crystal structure of Ce2SmOs. Source: Alexandria via LeMat-Bulk, functional PBE.

- E_form: 0.031 eV/atom
- Excess energy over the best structure of this formula in the dataset: 164 meV per atom
- SG: R-3m (166)
- E_tot: -6.923 eV per atom

Cell and atoms, written as POSCAR:
```
Ce2SmOs
1.0
1.9600 1.1316 8.9295
-1.9600 1.1316 8.9295
0.0000 -2.2632 8.9295
Ce Sm Os
2 1 1
Direct
0.2255 0.2255 0.2255 Ce
0.7745 0.7745 0.7745 Ce
0.0000 0.0000 0.0000 Sm
0.5000 0.5000 0.5000 Os
```



# 5
An optimized crystal structure of Sr2Ga3Cu12Pt. Source: Alexandria via LeMat-Bulk, functional PBE.

- E_form: 0.038 eV/atom
- SG: R-3m (166)
- E_tot: -3.719 eV per atom

Cell and atoms, written as POSCAR:
```
Sr2Ga3Cu12Pt
1.0
3.1255 1.8045 9.2694
-3.1255 1.8045 9.2694
0.0000 -3.6090 9.2694
Sr Ga Cu Pt
2 3 12 1
Direct
0.1522 0.1522 0.1522 Sr
0.8478 0.8478 0.8478 Sr
0.0000 0.5000 0.5000 Ga
0.5000 0.0000 0.5000 Ga
0.5000 0.5000 0.0000 Ga
0.0812 0.0813 0.6932 Cu
0.0812 0.6932 0.0812 Cu
0.1556 0.5584 0.5584 Cu
0.3068 0.9187 0.9188 Cu
0.4416 0.4416 0.8444 Cu
0.4416 0.8444 0.4416 Cu
0.5584 0.1556 0.5584 Cu
0.5584 0.5584 0.1556 Cu
0.6932 0.0813 0.0813 Cu
0.8444 0.4416 0.4416 Cu
0.9187 0.3068 0.9187 Cu
0.9187 0.9187 0.3068 Cu
0.5000 0.5000 0.5000 Pt
```



# 6
An optimized crystal structure of Ag4I3Br2. Source: Alexandria via LeMat-Bulk, functional PBE.

- Excess energy over the best structure of this formula in the dataset: 10 meV per atom
- SG: C2/c (15)
- E_tot: -2.353 eV per atom
- Formation energy without anion corrections: -0.197 eV per atom

Cell and atoms, written as POSCAR:
```
Ag4I3Br2
1.0
7.5104 -5.4895 0.0000
7.5104 5.4895 0.0000
-0.5268 0.0000 7.7480
Ag I Br
8 6 4
Direct
0.0424 0.1431 0.2069 Ag
0.1431 0.0424 0.7069 Ag
0.2936 0.4373 0.4673 Ag
0.4373 0.2936 0.9673 Ag
0.5627 0.7064 0.0327 Ag
0.7064 0.5627 0.5327 Ag
0.8569 0.9576 0.2931 Ag
0.9576 0.8569 0.7931 Ag
0.1025 0.7644 0.4801 I
0.2356 0.8975 0.0199 I
0.4585 0.5415 0.7500 I
0.5415 0.4585 0.2500 I
0.7644 0.1025 0.9801 I
0.8975 0.2356 0.5199 I
0.1838 0.3511 0.1604 Br
0.3511 0.1838 0.6604 Br
0.6489 0.8162 0.3396 Br
0.8162 0.6489 0.8396 Br
```



# 7
An optimized crystal structure of La5NdY2Th. Source: Alexandria via LeMat-Bulk, functional PBE.

- E_form: 0.127 eV/atom
- SG: Cmc2_1 (36)
- E_tot: -5.401 eV per atom

Cell and atoms, written as POSCAR:
```
La5NdY2Th
1.0
2.7728 -11.0048 0.0000
2.7728 11.0048 0.0000
0.0000 0.0000 10.6827
La Nd Y Th
10 2 4 2
Direct
0.0000 0.0000 0.0000 La
0.0000 0.0000 0.5000 La
0.1264 0.8736 0.7502 La
0.2233 0.7767 0.4424 La
0.2236 0.7764 0.0584 La
0.4968 0.5032 0.2500 La
0.5032 0.4968 0.7500 La
0.7764 0.2236 0.5584 La
0.7767 0.2233 0.9424 La
0.8736 0.1264 0.2502 La
0.1016 0.8984 0.2500 Nd
0.8984 0.1016 0.7500 Nd
0.3868 0.6132 0.5080 Y
0.3870 0.6130 0.9921 Y
0.6132 0.3868 0.0080 Y
0.6130 0.3870 0.4921 Y
0.2839 0.7161 0.7504 Th
0.7161 0.2839 0.2504 Th
```



# 8
An optimized crystal structure of SrAl6Au12. Source: Alexandria via LeMat-Bulk, functional PBE.

- E_form: -0.368 eV/atom
- Excess energy over the best structure of this formula in the dataset: 0 meV per atom
- SG: R-3m (166)
- E_tot: -3.708 eV per atom

Cell and atoms, written as POSCAR:
```
SrAl6Au12
1.0
5.9679 3.4456 2.9725
-5.9679 3.4456 2.9725
0.0000 -6.8912 2.9725
Sr Al Au
1 6 12
Direct
0.0000 0.0000 0.0000 Sr
0.2790 0.2790 0.6917 Al
0.2790 0.6917 0.2790 Al
0.3083 0.7210 0.7210 Al
0.6917 0.2790 0.2790 Al
0.7210 0.3083 0.7210 Al
0.7210 0.7210 0.3083 Al
0.1188 0.5000 0.8812 Au
0.1188 0.8812 0.5000 Au
0.1353 0.3894 0.3894 Au
0.3894 0.1353 0.3894 Au
0.3894 0.3894 0.1353 Au
0.5000 0.1188 0.8812 Au
0.5000 0.8812 0.1188 Au
0.6106 0.6106 0.8647 Au
0.6106 0.8647 0.6106 Au
0.8647 0.6106 0.6106 Au
0.8812 0.1188 0.5000 Au
0.8812 0.5000 0.1188 Au
```